# 1
DFT (PBE-GGA) results for a geometry-optimized Tb6PmSm structure.

Calculated values
DFT formation energy = 364 meV/atom
total DFT energy (no corrections) = -4.29 eV/atom
calculated density = 7.27 g/cm³
V = 285.11 Å³/cell

a = 6.089 Å, b = 6.089 Å, c = 8.530 Å
α = 101.93°, β = 101.93°, γ = 68.61°
Element x y z (fractional)
Tb 0.042 0.565 0.200
Tb 0.127 0.127 0.425
Tb 0.435 0.958 0.800
Tb 0.565 0.042 0.200
Tb 0.873 0.873 0.575
Tb 0.958 0.435 0.800
Pm 0.500 0.500 0.000
Sm 0.500 0.500 0.500

---

# 2
DFT (PBE-GGA) results for a geometry-optimized TmCrPd2 structure.

Calculated values
DFT formation energy = -491 meV/atom
total DFT energy (no corrections) = -6.61 eV/atom
calculated density = 10.17 g/cm³
V = 70.80 Å³/cell

a = 4.320 Å, b = 4.320 Å, c = 3.793 Å
α = 90.00°, β = 90.00°, γ = 90.00°
Element x y z (fractional)
Tm 0.000 0.000 0.000
Cr 0.500 0.500 0.000
Pd 0.000 0.500 0.500
Pd 0.500 0.000 0.500

---

# 3
DFT (PBE-GGA) results for a geometry-optimized LiDyBeGa structure.

Calculated values
DFT formation energy = -172 meV/atom
total DFT energy (no corrections) = -3.49 eV/atom
calculated density = 6.48 g/cm³
V = 63.59 Å³/cell

a = 4.480 Å, b = 4.480 Å, c = 4.480 Å
α = 60.00°, β = 60.00°, γ = 60.00°
Element x y z (fractional)
Li 0.000 0.000 0.000
Dy 0.250 0.250 0.250
Be 0.500 0.500 0.500
Ga 0.750 0.750 0.750

---

# 4
DFT (PBE-GGA) results for a geometry-optimized ScCrOs structure.

Calculated values
DFT formation energy = -25 meV/atom
total DFT energy (no corrections) = -9.09 eV/atom
calculated density = 10.42 g/cm³
V = 91.50 Å³/cell

a = 5.091 Å, b = 5.091 Å, c = 5.595 Å
α = 120.28°, β = 120.28°, γ = 49.34°
Element x y z (fractional)
Sc 0.174 0.174 0.090
Sc 0.826 0.826 0.910
Cr 0.143 0.143 0.553
Cr 0.857 0.857 0.447
Os 0.477 0.477 0.722
Os 0.523 0.523 0.278

---

> Among the records above, which one has the lowest DFT formation energy?

TmCrPd2

---

> Number 2 is which compound?

TmCrPd2